An optimized crystal structure of NdZnCd3, computed with GGA-PBE.

a = 7.185 Å, b = 4.503 Å, c = 7.470 Å
α = 90.00°, β = 104.54°, γ = 90.00°
Element x y z (fractional)
Nd: 0.206 0.250 0.170
Nd: 0.794 0.750 0.830
Zn: 0.466 0.250 0.758
Zn: 0.534 0.750 0.242
Cd: 0.065 0.250 0.658
Cd: 0.296 0.750 0.892
Cd: 0.344 0.750 0.517
Cd: 0.656 0.250 0.483
Cd: 0.704 0.250 0.108
Cd: 0.935 0.750 0.342

Computed properties:
- Offset from the most stable computed form: 0 meV per atom
- Volume: 116.98 Å³/f.u.
- Final energy: -19.91 eV for the cell shown
- E_form: -0.2335 eV/atom
- N(E_F): 5.5 states/eV per cell